Below is crystalline CuW at its relaxed geometry, with properties calculated at the PBE level.

Computed properties:
Polymorph energy (0 for the lowest one)   266.0 meV/atom

Cell: 2.5922 12.8235 5.3057 Å, 90.00 90.00 90.00°
With the nearest neighbours (Å) after each atom.
Atoms (fractional coordinates):
Cu1 0.2500 0.0762 0.1229  5 Cu 2.51-2.68, 4 W 2.62-2.73
Cu2 0.2500 0.2500 0.3412  4 Cu 2.51-2.59, 2 W 2.65
Cu3 0.2500 0.4238 0.1229  5 Cu 2.51-2.68, 4 W 2.62-2.73
Cu4 0.7500 0.5762 0.8771  5 Cu 2.51-2.68, 4 W 2.62-2.73
Cu5 0.7500 0.7500 0.6588  4 Cu 2.51-2.59, 2 W 2.65
Cu6 0.7500 0.9238 0.8771  5 Cu 2.51-2.68, 4 W 2.62-2.73
W1 0.2500 0.0808 0.6285  6 W 2.59-2.82, 5 Cu 2.62-2.73
W2 0.2500 0.4192 0.6285  6 W 2.59-2.82, 5 Cu 2.62-2.73
W3 0.2500 0.7500 0.1352  6 W 2.59-2.82, 2 Cu 2.84
W4 0.7500 0.2500 0.8648  6 W 2.59-2.82, 2 Cu 2.84
W5 0.7500 0.5808 0.3715  6 W 2.59-2.82, 5 Cu 2.62-2.73
W6 0.7500 0.9192 0.3715  6 W 2.59-2.82, 5 Cu 2.62-2.73

Below is crystalline CuW at its relaxed geometry, with properties calculated at the PBE level.

Computed properties:
Polymorph energy (0 for the lowest one)   393.4 meV/atom

Cell: 3.0379 3.0379 3.0379 Å, 90.00 90.00 90.00°
With the nearest neighbours (Å) after each atom.
Atoms (fractional coordinates):
Cu1 0.0000 0.0000 0.0000  8 W 2.63
W1 0.5000 0.5000 0.5000  8 Cu 2.63

Below is crystalline CuW3 at its relaxed geometry, with properties calculated at the PBE level.

Computed properties:
Polymorph energy (0 for the lowest one)   100.7 meV/atom

Cell: 5.4487 5.4487 4.4849 Å, 90.00 90.00 113.74°
With the nearest neighbours (Å) after each atom.
Atoms (fractional coordinates):
Cu1 0.1562 0.8438 0.7500  12 W 2.68-2.98
Cu2 0.8438 0.1562 0.2500  12 W 2.68-2.98
W1 0.1423 0.3463 0.7500  7 W 2.67-2.91, 4 Cu 2.68-2.77
W2 0.3463 0.1423 0.2500  7 W 2.67-2.91, 4 Cu 2.68-2.77
W3 0.3618 0.6382 0.2500  8 W 2.67-2.78, 4 Cu 2.92-2.98
W4 0.6382 0.3618 0.7500  8 W 2.67-2.78, 4 Cu 2.92-2.98
W5 0.6537 0.8577 0.7500  7 W 2.67-2.91, 4 Cu 2.68-2.77
W6 0.8577 0.6537 0.2500  7 W 2.67-2.91, 4 Cu 2.68-2.77

Below is crystalline CuW3 at its relaxed geometry, with properties calculated at the PBE level.

Computed properties:
Polymorph energy (0 for the lowest one)   167.5 meV/atom

Cell: 2.6709 2.6709 8.6221 Å, 90.00 90.00 90.00°
With the nearest neighbours (Å) after each atom.
Atoms (fractional coordinates):
Cu1 0.0000 0.0000 0.0000  4 Cu 2.67, 8 W 2.75
W1 0.0000 0.0000 0.5000  12 W 2.67-2.98
W2 0.5000 0.5000 0.2323  8 W 2.67-2.98, 4 Cu 2.75
W3 0.5000 0.5000 0.7677  8 W 2.67-2.98, 4 Cu 2.75

Below is crystalline YCuW2 at its relaxed geometry, with properties calculated at the PBE level.

Computed properties:
Polymorph energy (0 for the lowest one)   0.0 meV/atom

Cell: 3.2840 3.2834 6.8156 Å, 90.00 90.73 90.00°
With the nearest neighbours (Å) after each atom.
Atoms (fractional coordinates):
Y1 0.0000 0.0000 0.0000  4 Cu 3.04, 5 W 3.11-3.40, 4 Y 3.28
Cu1 0.4924 0.5000 0.7131  5 W 2.74-2.78, 4 Y 3.04
W1 0.5069 0.5000 0.3048  4 W 2.62-2.73, 1 Cu 2.78
W2 0.9850 0.0000 0.4980  4 W 2.62-2.73, 4 Cu 2.74-2.75

Below is crystalline Y2CuW at its relaxed geometry, with properties calculated at the PBE level.

Computed properties:
Polymorph energy (0 for the lowest one)   16.0 meV/atom

Cell: 5.7513 5.7513 5.2552 Å, 108.81 108.81 31.92°
With the nearest neighbours (Å) after each atom.
Atoms (fractional coordinates):
Y1 0.0000 0.0000 0.0000  3 W 3.07-3.16, 4 Cu 3.09-3.17, 4 Y 3.16-3.34
Y2 0.1967 0.1967 0.6358  3 Cu 3.09-3.12, 4 W 3.12-3.17, 4 Y 3.16-3.34
Cu1 0.4415 0.4415 0.4676  2 W 2.60
W1 0.7622 0.7622 0.1762  2 Cu 2.60

Below is crystalline Y2CuW at its relaxed geometry, with properties calculated at the PBE level.

Computed properties:
Polymorph energy (0 for the lowest one)   763.8 meV/atom

Cell: 10.2366 10.2366 10.2366 Å, 155.90 155.90 34.35°
With the nearest neighbours (Å) after each atom.
Atoms (fractional coordinates):
Y1 0.1238 0.6250 0.9988  2 Cu 2.87, 2 W 2.88, 4 Y 3.02-3.03
Y2 0.3750 0.3738 0.4988  2 Cu 2.87, 2 W 2.88, 4 Y 3.02-3.03
Y3 0.6262 0.1250 0.0012  2 Cu 2.87, 2 W 2.88, 4 Y 3.02-3.03
Y4 0.8750 0.8762 0.5012  2 Cu 2.87, 2 W 2.88, 4 Y 3.02-3.03
Cu1 0.0000 0.0000 0.0000  4 Y 2.87, 4 W 3.02
Cu2 0.7500 0.2500 0.5000  4 Y 2.87, 4 W 3.02
W1 0.2500 0.7500 0.5000  4 Y 2.88, 4 Cu 3.02
W2 0.5000 0.5000 0.0000  4 Y 2.88, 4 Cu 3.02

Below is crystalline Y2CuW at its relaxed geometry, with properties calculated at the PBE level.

Computed properties:
Polymorph energy (0 for the lowest one)   260.5 meV/atom

Cell: 9.6067 9.6067 9.6067 Å, 19.62 19.62 19.62°
With the nearest neighbours (Å) after each atom.
Atoms (fractional coordinates):
Y1 0.2485 0.2485 0.2485  3 Cu 2.99, 3 W 3.05, 6 Y 3.27
Y2 0.7515 0.7515 0.7515  3 Cu 2.99, 3 W 3.05, 6 Y 3.27
Cu1 0.5000 0.5000 0.5000  6 Y 2.99, 6 Cu 3.27
W1 0.0000 0.0000 0.0000  6 Y 3.05, 6 W 3.27

Below is crystalline YCuW2 at its relaxed geometry, with properties calculated at the PBE level.

Computed properties:
Polymorph energy (0 for the lowest one)   772.0 meV/atom

Cell: 4.6057 4.6057 4.6057 Å, 60.00 60.00 60.00°
With the nearest neighbours (Å) after each atom.
Atoms (fractional coordinates):
Y1 0.0000 0.0000 0.0000  8 W 2.82
Cu1 0.5000 0.5000 0.5000  8 W 2.82
W1 0.2500 0.2500 0.2500  4 Cu 2.82, 4 Y 2.82
W2 0.7500 0.7500 0.7500  4 Cu 2.82, 4 Y 2.82

Below is crystalline Y4CuW at its relaxed geometry, with properties calculated at the PBE level.

Cell: 5.9987 5.9987 5.9987 Å, 60.00 60.00 60.00°
With the nearest neighbours (Å) after each atom.
Atoms (fractional coordinates):
Y1 0.3760 0.3760 0.3760  6 Y 2.98-3.02
Y2 0.3760 0.3760 0.8720  6 Y 2.98-3.02
Y3 0.3760 0.8720 0.3760  6 Y 2.98-3.02
Y4 0.8720 0.3760 0.3760  6 Y 2.98-3.02
Cu1 0.0000 0.0000 0.0000  12 Y 3.52, 4 W 3.67
W1 0.7500 0.7500 0.7500  12 Y 3.51, 4 Cu 3.67

Below is crystalline YCuW2 at its relaxed geometry, with properties calculated at the PBE level.

Computed properties:
Polymorph energy (0 for the lowest one)   493.0 meV/atom

Cell: 10.1097 10.1097 10.1097 Å, 16.24 16.24 16.24°
With the nearest neighbours (Å) after each atom.
Atoms (fractional coordinates):
Y1 0.0000 0.0000 0.0000  6 Y 2.86
Cu1 0.5000 0.5000 0.5000  6 W 2.75, 6 Cu 2.86
W1 0.2401 0.2401 0.2401  3 Cu 2.75, 6 W 2.86
W2 0.7599 0.7599 0.7599  3 Cu 2.75, 6 W 2.86

Below is crystalline YCuW2 at its relaxed geometry, with properties calculated at the PBE level.

Computed properties:
Polymorph energy (0 for the lowest one)   461.5 meV/atom

Cell: 2.7508 4.8963 5.4255 Å, 90.00 90.00 90.00°
With the nearest neighbours (Å) after each atom.
Atoms (fractional coordinates):
Y1 0.0000 0.0000 0.0000  2 Cu 2.71, 2 Y 2.75
Cu1 0.0000 0.0000 0.5000  2 Y 2.71, 2 Cu 2.75
W1 0.5000 0.5000 0.2455  4 W 2.66-2.76
W2 0.5000 0.5000 0.7545  4 W 2.66-2.76

| no. | calculated formation energy (eV/atom) | final energy (eV per atom) |
| --- | --- | --- |
| 1 | 0.48 | -8.0401 |
| 2 | 0.61 | -7.9127 |
| 3 | 0.30 | -10.4410 |
| 4 | 0.36 | -10.3743 |
| 5 | 0.28 | -8.8401 |
| 6 | 0.29 | -7.2084 |
| 7 | 1.03 | -6.4605 |
| 8 | 0.53 | -6.9638 |
| 9 | 1.05 | -8.0682 |
| 10 | 1.10 | -6.0531 |
| 11 | 0.77 | -8.3471 |
| 12 | 0.74 | -8.3786 |